# ErOsRu (PBE, relaxed)
# * energy relative to the lowest polymorph listed for this composition: 1.312 eV/f.u.
# * formation energy: 111.1 meV per atom
data_ErOsRu
_space_group_name_H-M_alt 'C m c m'
_space_group_IT_number 63
_space_group_name_Hall '-C 2c 2'
_cell_length_a 2.957
_cell_length_b 15.856
_cell_length_c 4.539
_cell_angle_alpha 90.00
_cell_angle_beta 90.00
_cell_angle_gamma 90.00
loop_
_atom_site_label
_atom_site_type_symbol
_atom_site_fract_x
_atom_site_fract_y
_atom_site_fract_z
Er1 Er 0.000 0.067 0.250
Os1 Os 0.000 0.367 0.250
Ru1 Ru 0.000 0.270 0.750